An optimized crystal structure of HgSbSI2, computed with PBE-GGA.

## Properties
As for the energy above the lowest structure with this stoichiometry: 0.000 eV/atom. As for the spin magnetization: 0.0000 μB/atom. As for the space-group type: P4/mmm. The total energy is -1.94 eV per atom. The formation energy (no corrections) comes out at 0.39 eV/atom. The crystal system is tetragonal.

abc: 5.861 5.861 5.167
angles: 90.00 90.00 90.00
Sites, in units of the cell vectors:
Hg1 0.000 0.000 0.000
Sb1 0.500 0.500 0.000
S1 0.500 0.500 0.500
I1 0.000 0.500 0.500
I2 0.500 0.000 0.500